Crystalline Pm2Zn4Cu3Pd at its relaxed geometry. Source: the Alexandria database, functional GGA-PBE.

Cell: 4.197 4.197 10.338 Å, 90.00 90.00 90.00°
Atoms (fractional coordinates):
Cu 0.500 0.000 0.867
Cu 0.000 0.000 0.500
Cu 0.000 0.500 0.133
Pm 0.500 0.000 0.255
Pm 0.000 0.500 0.745
Pd 0.500 0.500 0.500
Zn 0.000 0.000 0.000
Zn 0.500 0.000 0.634
Zn 0.000 0.500 0.366
Zn 0.500 0.500 0.000

Computed properties:
volume	182.1	Å³/cell
space group	P-4m2 (115)
final energy	-35.23	eV for the cell shown
formation energy	-0.3152	eV/atom

=====

Crystalline Pm2Zn3CuPd4 at its relaxed geometry. Source: the Alexandria database, functional GGA-PBE.

Cell: 4.133 4.133 11.035 Å, 90.00 90.00 90.00°
Atoms (fractional coordinates):
Cu 0.500 0.500 0.500
Pd 0.500 0.000 0.640
Pd 0.000 0.000 0.000
Pd 0.500 0.500 0.000
Pd 0.000 0.500 0.360
Zn 0.500 0.000 0.866
Zn 0.000 0.500 0.134
Zn 0.000 0.000 0.500
Pm 0.000 0.500 0.748
Pm 0.500 0.000 0.252

Computed properties:
volume	188.5	Å³/cell
space group	P-4m2 (115)
final energy	-43.89	eV for the cell shown
formation energy	-0.5703	eV/atom